! GGA+U BaW2O8, optimized geometry; values from VASP
! **Spin magnetization**: 0.303 μB per formula unit
! **ρ**: 6.826 g/cm3
! **E**: -6.61 eV per atom
&SYSTEM
  ibrav = 0, nat = 11, ntyp = 3
/
ATOMIC_SPECIES
O 16.00 O.upf
W 183.84 W.upf
Ba 137.33 Ba.upf
CELL_PARAMETERS angstrom
4.8227 0.0000 0.0000
0.0000 4.8227 0.0000
0.0000 0.0000 6.6204
ATOMIC_POSITIONS angstrom
O 1.2032 1.2032 5.4473
O 3.6195 1.2032 5.4473
O 1.2032 1.2032 1.1731
O 1.2032 3.6195 1.1731
O 3.6195 3.6195 5.4473
O 3.6195 3.6195 1.1731
O 1.2032 3.6195 5.4473
O 3.6195 1.2032 1.1731
W 0.0000 2.4114 0.0000
W 2.4114 0.0000 0.0000
Ba 2.4114 2.4114 3.3102